Sm8ScTl2: optimized geometry, PBE-GGA.

Summary:
space-group type	C2/m, No. 12
energy of formation	-18.3	meV/atom
calculated volume	32.17	Å³/atom

a b c (Å): 5.7000 8.9023 8.9023
angles (deg): 119.95 102.35 102.35
With the nearest neighbours (Å) after each atom.
Fractional positions:
Sm  0.8849  0.6824  0.9046  2 Tl 3.23-3.42, 4 Sm 3.34-3.57
Sm  0.1151  0.3176  0.0954  2 Tl 3.23-3.42, 4 Sm 3.34-3.57
Sm  0.5000  0.2146  0.7854  2 Tl 3.17, 1 Sc 3.31
Sm  0.8849  0.9046  0.6824  2 Tl 3.23-3.42, 4 Sm 3.34-3.57
Sm  0.1151  0.0954  0.3176  2 Tl 3.23-3.42, 4 Sm 3.34-3.57
Sm  0.5000  0.7854  0.2146  2 Tl 3.17, 1 Sc 3.31
Sm  0.7029  0.3944  0.3944  1 Sm 3.09, 1 Sc 3.20, 2 Tl 3.38
Sm  0.2971  0.6056  0.6056  1 Sm 3.09, 1 Sc 3.20, 2 Tl 3.38
Tl  0.0000  0.6950  0.3050  8 Sm 3.17-3.42
Tl  0.0000  0.3050  0.6950  8 Sm 3.17-3.42
Sc  0.5000  0.0000  0.0000  4 Sm 3.20-3.31